Entry 1:
Here is crystalline Tb12NdDy7 at its relaxed geometry from the Alexandria database. Energies are from PBE.

Summary:
spin magnetization = 0.0 μB per cell
E above lowest polymorph = 396 meV/atom
formation energy from the elements = 689.8 meV per atom
DOS(E_F) = 23.53 states/eV/cell

Structure (CIF):
```
data_Tb12NdDy7
_chemical_formula_sum 'Tb12 Nd1 Dy7'
_symmetry_space_group_name_H-M 'P 1'
_symmetry_Int_Tables_number 1
_symmetry_space_group_name_Hall 'P 1'
_cell_length_a 9.788
_cell_length_b 9.788
_cell_length_c 9.788
_cell_angle_alpha 109.47
_cell_angle_beta 109.47
_cell_angle_gamma 109.47
loop_
_atom_site_label
_atom_site_type_symbol
_atom_site_fract_x
_atom_site_fract_y
_atom_site_fract_z
_atom_site_occupancy
Tb1 Tb 0.001 0.254 0.746 1
Tb2 Tb 0.254 0.254 0.508 1
Tb3 Tb 0.254 0.508 0.254 1
Tb4 Tb 0.254 0.746 0.001 1
Tb5 Tb 0.254 0.999 0.746 1
Tb6 Tb 0.492 0.746 0.746 1
Tb7 Tb 0.508 0.254 0.254 1
Tb8 Tb 0.746 0.001 0.254 1
Tb9 Tb 0.746 0.254 0.999 1
Tb10 Tb 0.746 0.492 0.746 1
Tb11 Tb 0.746 0.746 0.492 1
Tb12 Tb 0.999 0.746 0.254 1
Nd1 Nd 0.000 0.000 0.000 1
Dy1 Dy 0.000 0.000 0.500 1
Dy2 Dy 0.000 0.500 0.000 1
Dy3 Dy 0.000 0.500 0.500 1
Dy4 Dy 0.500 0.000 0.000 1
Dy5 Dy 0.500 0.000 0.500 1
Dy6 Dy 0.500 0.500 0.000 1
Dy7 Dy 0.500 0.500 0.500 1
```



Entry 2:
Here is crystalline Tb3Nd5Dy at its relaxed geometry from the Alexandria database. Energies are from PBE.

Summary:
spin magnetization = 0.0 μB per cell
E above lowest polymorph = 207 meV/atom
formation energy from the elements = 477.5 meV per atom
DOS(E_F) = 28.08 states/eV/cell

Structure (CIF):
```
data_Tb3Nd5Dy
_chemical_formula_sum 'Tb6 Nd10 Dy2'
_symmetry_space_group_name_H-M 'P 1'
_symmetry_Int_Tables_number 1
_symmetry_space_group_name_Hall 'P 1'
_cell_length_a 9.657
_cell_length_b 9.657
_cell_length_c 9.901
_cell_angle_alpha 120.39
_cell_angle_beta 120.39
_cell_angle_gamma 74.95
loop_
_atom_site_label
_atom_site_type_symbol
_atom_site_fract_x
_atom_site_fract_y
_atom_site_fract_z
_atom_site_occupancy
Tb1 Tb 0.000 0.000 0.000 1
Tb2 Tb 0.007 0.007 0.323 1
Tb3 Tb 0.486 0.486 0.149 1
Tb4 Tb 0.500 0.500 0.500 1
Tb5 Tb 0.514 0.514 0.851 1
Tb6 Tb 0.993 0.993 0.677 1
Nd1 Nd 0.101 0.606 0.763 1
Nd2 Nd 0.228 0.228 0.735 1
Nd3 Nd 0.247 0.753 0.500 1
Nd4 Nd 0.274 0.274 0.450 1
Nd5 Nd 0.394 0.899 0.237 1
Nd6 Nd 0.606 0.101 0.763 1
Nd7 Nd 0.726 0.726 0.550 1
Nd8 Nd 0.753 0.247 0.500 1
Nd9 Nd 0.772 0.772 0.265 1
Nd10 Nd 0.899 0.394 0.237 1
Dy1 Dy 0.250 0.250 0.092 1
Dy2 Dy 0.750 0.750 0.908 1
```



Entry 3:
Here is crystalline Tb2NdDy3 at its relaxed geometry from the Alexandria database. Energies are from PBE.

Summary:
spin magnetization = 0.0 μB per cell
E above lowest polymorph = 0 meV/atom
formation energy from the elements = 17.0 meV per atom
DOS(E_F) = 16.34 states/eV/cell

Structure (CIF):
```
data_Tb2NdDy3
_chemical_formula_sum 'Tb4 Nd2 Dy6'
_symmetry_space_group_name_H-M 'P 1'
_symmetry_Int_Tables_number 1
_symmetry_space_group_name_Hall 'P 1'
_cell_length_a 9.452
_cell_length_b 9.452
_cell_length_c 6.177
_cell_angle_alpha 90.10
_cell_angle_beta 90.10
_cell_angle_gamma 44.39
loop_
_atom_site_label
_atom_site_type_symbol
_atom_site_fract_x
_atom_site_fract_y
_atom_site_fract_z
_atom_site_occupancy
Tb1 Tb 0.043 0.292 0.417 1
Tb2 Tb 0.292 0.043 0.917 1
Tb3 Tb 0.708 0.957 0.083 1
Tb4 Tb 0.957 0.708 0.583 1
Nd1 Nd 0.374 0.626 0.750 1
Nd2 Nd 0.626 0.374 0.250 1
Dy1 Dy 0.124 0.876 0.250 1
Dy2 Dy 0.207 0.458 0.085 1
Dy3 Dy 0.458 0.207 0.585 1
Dy4 Dy 0.542 0.793 0.415 1
Dy5 Dy 0.793 0.542 0.915 1
Dy6 Dy 0.876 0.124 0.750 1
```



Entry 4:
Here is crystalline TbNd2Dy at its relaxed geometry from the Alexandria database. Energies are from PBE.

Summary:
spin magnetization = 0.0 μB per cell
E above lowest polymorph = 44 meV/atom
formation energy from the elements = 55.1 meV per atom
DOS(E_F) = 5.98 states/eV/cell

Structure (CIF):
```
data_TbNd2Dy
_chemical_formula_sum 'Tb1 Nd2 Dy1'
_symmetry_space_group_name_H-M 'P 1'
_symmetry_Int_Tables_number 1
_symmetry_space_group_name_Hall 'P 1'
_cell_length_a 5.651
_cell_length_b 6.889
_cell_length_c 6.889
_cell_angle_alpha 30.03
_cell_angle_beta 90.00
_cell_angle_gamma 90.00
loop_
_atom_site_label
_atom_site_type_symbol
_atom_site_fract_x
_atom_site_fract_y
_atom_site_fract_z
_atom_site_occupancy
Tb1 Tb 0.000 0.000 0.000 1
Nd1 Nd 0.000 0.743 0.743 1
Nd2 Nd 0.500 0.617 0.617 1
Dy1 Dy 0.500 0.359 0.359 1
```



Q: Which of these has the lowest formation energy from the elements?
A: Tb2NdDy3



Q: What is the formation energy from the elements in the first record?
A: 689.8 meV per atom



What did the third record say?
Here is crystalline Tb2NdDy3 at its relaxed geometry from the Alexandria database. Energies are from PBE.

Summary:
spin magnetization = 0.0 μB per cell
E above lowest polymorph = 0 meV/atom
formation energy from the elements = 17.0 meV per atom
DOS(E_F) = 16.34 states/eV/cell

Structure (CIF):
```
data_Tb2NdDy3
_chemical_formula_sum 'Tb4 Nd2 Dy6'
_symmetry_space_group_name_H-M 'P 1'
_symmetry_Int_Tables_number 1
_symmetry_space_group_name_Hall 'P 1'
_cell_length_a 9.452
_cell_length_b 9.452
_cell_length_c 6.177
_cell_angle_alpha 90.10
_cell_angle_beta 90.10
_cell_angle_gamma 44.39
loop_
_atom_site_label
_atom_site_type_symbol
_atom_site_fract_x
_atom_site_fract_y
_atom_site_fract_z
_atom_site_occupancy
Tb1 Tb 0.043 0.292 0.417 1
Tb2 Tb 0.292 0.043 0.917 1
Tb3 Tb 0.708 0.957 0.083 1
Tb4 Tb 0.957 0.708 0.583 1
Nd1 Nd 0.374 0.626 0.750 1
Nd2 Nd 0.626 0.374 0.250 1
Dy1 Dy 0.124 0.876 0.250 1
Dy2 Dy 0.207 0.458 0.085 1
Dy3 Dy 0.458 0.207 0.585 1
Dy4 Dy 0.542 0.793 0.415 1
Dy5 Dy 0.793 0.542 0.915 1
Dy6 Dy 0.876 0.124 0.750 1
```